Below is crystalline Tb6Pm2SmMg at its relaxed geometry, with properties calculated at the PBE level.

Computed properties:
DOS at the Fermi energy ... 14.85 states/eV/f.u.
Formation energy from the elements ... 0.10 eV/atom

Unit cell a=6.655 b=11.020 c=11.020 alpha=126.14 beta=85.88 gamma=85.88
Sites, in units of the cell vectors:
Tb 0.029 0.087 0.794
Tb 0.471 0.206 0.913
Tb 0.971 0.913 0.206
Tb 0.529 0.794 0.087
Tb 0.278 0.915 0.437
Tb 0.222 0.563 0.085
Tb 0.722 0.085 0.563
Tb 0.778 0.437 0.915
Tb 0.018 0.702 0.527
Tb 0.482 0.473 0.298
Tb 0.982 0.298 0.473
Tb 0.518 0.527 0.702
Pm 0.503 0.815 0.651
Pm 0.997 0.349 0.185
Pm 0.497 0.185 0.349
Pm 0.003 0.651 0.815
Sm 0.250 0.993 0.007
Sm 0.750 0.007 0.993
Mg 0.250 0.293 0.707
Mg 0.750 0.707 0.293